1.
Here is CeSiNi2 after structural relaxation from Alexandria. Energies are from GGA-PBE.

## Properties
Raw formation energy = -14.81 kcal/mol of atoms
N(E_F) = 14.429 states/eV per cell

Cell lengths 3.9721, 3.9721, 14.3459 Å; angles 90.00, 90.00, 120.00 degrees
Space group R-3m (No. 166, hexagonal axes)
Asymmetric unit:
Ce  0.0000  0.0000  0.0000 x3
Si  0.0000  0.0000  0.5000 x3
Ni  0.0000  0.0000  0.2061 x6


2.
Here is Ce2Si3Ni2 after structural relaxation from Alexandria. Energies are from GGA-PBE.

## Properties
Raw formation energy = -16.75 kcal/mol of atoms
Offset from the most stable computed form = 0.0000 eV per atom
N(E_F) = 29.562 states/eV per cell

Cell lengths 4.220, 17.549, 6.550 Å; angles 90.00, 90.00, 90.00 degrees
Space group Cmcm (No. 63)
Asymmetric unit:
Ce  0.000  0.053  0.250 x4
Ce  0.000  0.160  0.750 x4
Si  0.000  0.221  0.250 x4
Si  0.000  0.437  0.067 x8
Ni  0.000  0.307  0.554 x8


3.
Here is Ce2Si3Ni after structural relaxation from Alexandria. Energies are from GGA-PBE.

## Properties
Raw formation energy = -18.18 kcal/mol of atoms
Offset from the most stable computed form = 0.0000 eV per atom
N(E_F) = 70.116 states/eV per cell

Cell lengths 8.031, 8.341, 13.895 Å; angles 90.00, 90.00, 90.00 degrees
Space group Fmmm (No. 69)
Asymmetric unit:
Ce  0.000  0.247  0.000 x8
Ce  0.250  0.250  0.250 x8
Si  0.000  0.000  0.170 x8
Si  0.244  0.000  0.415 x16
Ni  0.000  0.000  0.333 x8


4.
Here is Ce2SiNi5 after structural relaxation from Alexandria. Energies are from GGA-PBE.

## Properties
Raw formation energy = -8.26 kcal/mol of atoms
N(E_F) = 22.047 states/eV per cell

Cell lengths 5.677, 5.677, 8.287 Å; angles 90.00, 90.00, 90.00 degrees
Space group I4mm (No. 107)
Asymmetric unit:
Ce  0.000  0.500  0.000 x4
Si  0.000  0.000  0.271 x2
Ni  0.000  0.000  0.549 x2
Ni  0.217  0.217  0.755 x8


5.
Here is CeSiNi after structural relaxation from Alexandria. Energies are from GGA-PBE.

## Properties
Raw formation energy = -17.15 kcal/mol of atoms
N(E_F) = 22.446 states/eV per cell

Cell lengths 4.003, 4.003, 14.096 Å; angles 90.00, 90.00, 90.00 degrees
Space group I4_1md (No. 109)
Asymmetric unit:
Ce  0.000  0.000  0.000 x4
Si  0.000  0.000  0.418 x4
Ni  0.000  0.000  0.584 x4


6.
Here is CeSi2Ni3 after structural relaxation from Alexandria. Energies are from GGA-PBE.

## Properties
Raw formation energy = -16.67 kcal/mol of atoms
N(E_F) = 29.550 states/eV per cell

Cell lengths 15.409, 3.838, 9.319 Å; angles 90.00, 107.89, 90.00 degrees
Space group C2/m (No. 12)
Asymmetric unit:
Ce  0.000  0.000  0.000 x2
Ce  0.156  0.000  0.699 x4
Si  0.029  0.500  0.769 x4
Si  0.139  0.500  0.447 x4
Si  0.201  0.000  0.129 x4
Ni  0.000  0.500  0.500 x2
Ni  0.048  0.000  0.342 x4
Ni  0.125  0.500  0.197 x4
Ni  0.176  0.500  0.967 x4
Ni  0.217  0.000  0.392 x4


7.
Here is CeSi3Ni3 after structural relaxation from Alexandria. Energies are from GGA-PBE.

## Properties
Raw formation energy = -7.98 kcal/mol of atoms
Offset from the most stable computed form = 0.0000 eV per atom
N(E_F) = 18.475 states/eV per cell

Cell lengths 6.228, 6.228, 6.228 Å; angles 90.00, 90.00, 90.00 degrees
Space group Pm-3n (No. 223)
Asymmetric unit:
Ce  0.000  0.000  0.000 x2
Si  0.000  0.250  0.500 x6
Ni  0.000  0.500  0.250 x6


8.
Here is Ce6Si2Ni after structural relaxation from Alexandria. Energies are from GGA-PBE.

## Properties
Raw formation energy = -9.16 kcal/mol of atoms
N(E_F) = 20.596 states/eV per cell

Cell lengths 8.0263, 8.0263, 3.7992 Å; angles 90.00, 90.00, 120.00 degrees
Space group P-62m (No. 189)
Asymmetric unit:
Ce  0.0000  0.2556  0.0000 x3
Ce  0.0000  0.5737  0.5000 x3
Si  0.3333  0.6667  0.0000 x2
Ni  0.0000  0.0000  0.5000 x1


9.
Here is CeSi3Ni3 after structural relaxation from Alexandria. Energies are from GGA-PBE.

## Properties
Raw formation energy = -7.13 kcal/mol of atoms
Offset from the most stable computed form = 0.0368 eV per atom
N(E_F) = 46.309 states/eV per cell

Cell lengths 6.1979, 6.1979, 19.5538 Å; angles 90.00, 90.00, 120.00 degrees
Space group R-3 (No. 148, hexagonal axes)
Asymmetric unit:
Ce  0.0000  0.0000  0.1587 x6
Si  0.0496  0.6049  0.3765 x18
Ni  0.0304  0.7855  0.5906 x18


10.
Here is Ce2Si5Ni3 after structural relaxation from Alexandria. Energies are from GGA-PBE.

## Properties
Raw formation energy = -17.97 kcal/mol of atoms
N(E_F) = 35.910 states/eV per cell

Cell lengths 9.573, 11.350, 5.753 Å; angles 90.00, 90.00, 90.00 degrees
Space group Ibam (No. 72)
Asymmetric unit:
Ce  0.236  0.130  0.000 x8
Si  0.000  0.000  0.250 x4
Si  0.000  0.266  0.250 x8
Si  0.148  0.392  0.000 x8
Ni  0.000  0.500  0.250 x4
Ni  0.111  0.134  0.500 x8


11.
Here is Ce3Si4Ni2 after structural relaxation from Alexandria. Energies are from GGA-PBE.

## Properties
Raw formation energy = -17.95 kcal/mol of atoms
Offset from the most stable computed form = 0.0000 eV per atom
N(E_F) = 22.767 states/eV per cell

Cell lengths 10.753, 4.055, 8.043 Å; angles 90.00, 100.38, 90.00 degrees
Space group C2/m (No. 12)
Asymmetric unit:
Ce  0.000  0.000  0.000 x2
Ce  0.164  0.500  0.664 x4
Si  0.057  0.000  0.384 x4
Si  0.220  0.500  0.064 x4
Ni  0.107  0.500  0.279 x4


12.
Here is CeSi4Ni4 after structural relaxation from Alexandria. Energies are from GGA-PBE.

## Properties
Raw formation energy = -12.44 kcal/mol of atoms
N(E_F) = 18.153 states/eV per cell

Cell lengths 7.852, 7.852, 4.350 Å; angles 90.00, 90.00, 90.00 degrees
Space group I4/m (No. 87)
Asymmetric unit:
Ce  0.000  0.000  0.000 x2
Si  0.110  0.621  0.500 x8
Ni  0.175  0.314  0.500 x8


13.
Here is Ce2SiNi7 after structural relaxation from Alexandria. Energies are from GGA-PBE.

## Properties
Raw formation energy = -7.74 kcal/mol of atoms
N(E_F) = 11.154 states/eV per cell

Cell lengths 3.771, 3.771, 10.490 Å; angles 90.00, 90.00, 90.00 degrees
Space group P-4m2 (No. 115)
Asymmetric unit:
Ce  0.000  0.500  0.236 x2
Si  0.000  0.000  0.500 x1
Ni  0.000  0.000  0.000 x1
Ni  0.000  0.500  0.632 x2
Ni  0.000  0.500  0.855 x2
Ni  0.500  0.500  0.000 x1
Ni  0.500  0.500  0.500 x1


14.
Here is Ce3Si2Ni4 after structural relaxation from Alexandria. Energies are from GGA-PBE.

## Properties
Raw formation energy = -13.87 kcal/mol of atoms
N(E_F) = 23.370 states/eV per cell

Cell lengths 10.405, 4.110, 8.093 Å; angles 90.00, 113.33, 90.00 degrees
Space group C2/m (No. 12)
Asymmetric unit:
Ce  0.000  0.000  0.000 x2
Ce  0.133  0.500  0.688 x4
Si  0.157  0.500  0.318 x4
Ni  0.105  0.000  0.424 x4
Ni  0.218  0.500  0.068 x4


15.
Here is Ce3Si3Ni after structural relaxation from Alexandria. Energies are from GGA-PBE.

## Properties
Raw formation energy = -15.92 kcal/mol of atoms
Offset from the most stable computed form = 0.0000 eV per atom
N(E_F) = 24.773 states/eV per cell

Cell lengths 4.017, 4.163, 17.849 Å; angles 90.00, 90.00, 90.00 degrees
Space group Imm2 (No. 44)
Asymmetric unit:
Ce  0.000  0.000  0.000 x2
Ce  0.000  0.000  0.369 x2
Ce  0.000  0.500  0.681 x2
Si  0.000  0.000  0.548 x2
Si  0.000  0.000  0.821 x2
Si  0.000  0.500  0.242 x2
Ni  0.000  0.500  0.115 x2


16.
Here is Ce3Si3Ni2 after structural relaxation from Alexandria. Energies are from GGA-PBE.

## Properties
Raw formation energy = -16.25 kcal/mol of atoms
N(E_F) = 39.388 states/eV per cell

Cell lengths 4.213, 10.133, 14.177 Å; angles 90.00, 90.00, 90.00 degrees
Space group Cmcm (No. 63)
Asymmetric unit:
Ce  0.000  0.092  0.112 x8
Ce  0.000  0.384  0.250 x4
Si  0.000  0.317  0.750 x4
Si  0.000  0.384  0.038 x8
Ni  0.000  0.203  0.595 x8


17.
Here is CeSiNi after structural relaxation from Alexandria. Energies are from GGA-PBE.

## Properties
Raw formation energy = -2.35 kcal/mol of atoms
N(E_F) = 9.430 states/eV per cell

Cell lengths 3.865, 3.865, 8.027 Å; angles 90.00, 90.00, 90.00 degrees
Space group I4mm (No. 107)
Asymmetric unit:
Ce  0.000  0.000  0.000 x2
Si  0.000  0.000  0.349 x2
Ni  0.000  0.000  0.635 x2


18.
Here is Ce3Si3Ni after structural relaxation from Alexandria. Energies are from GGA-PBE.

## Properties
Raw formation energy = -11.61 kcal/mol of atoms
Offset from the most stable computed form = 0.1867 eV per atom
N(E_F) = 22.428 states/eV per cell

Cell lengths 6.052, 5.644, 8.784 Å; angles 90.00, 95.30, 90.00 degrees
Space group P2_1/m (No. 11)
Asymmetric unit:
Ce  0.174  0.250  0.311 x2
Ce  0.281  0.250  0.951 x2
Ce  0.283  0.750  0.610 x2
Si  0.055  0.250  0.646 x2
Si  0.195  0.750  0.946 x2
Si  0.446  0.250  0.638 x2
Ni  0.243  0.750  0.205 x2


19.
Here is Ce2Si4Ni3 after structural relaxation from Alexandria. Energies are from GGA-PBE.

## Properties
Raw formation energy = -15.18 kcal/mol of atoms
N(E_F) = 30.758 states/eV per cell

Cell lengths 5.441, 14.254, 7.228 Å; angles 90.00, 90.00, 90.00 degrees
Space group Cmce (No. 64)
Asymmetric unit:
Ce  0.000  0.106  0.098 x8
Si  0.000  0.182  0.491 x8
Si  0.250  0.065  0.750 x8
Ni  0.000  0.000  0.500 x4
Ni  0.250  0.229  0.750 x8


20.
Here is Ce3Si2Ni after structural relaxation from Alexandria. Energies are from GGA-PBE.

## Properties
Raw formation energy = -14.52 kcal/mol of atoms
N(E_F) = 39.248 states/eV per cell

Cell lengths 11.964, 4.085, 10.279 Å; angles 90.00, 90.00, 90.00 degrees
Space group Pnma (No. 62)
Asymmetric unit:
Ce  0.043  0.250  0.090 x4
Ce  0.127  0.750  0.574 x4
Ce  0.215  0.250  0.757 x4
Si  0.032  0.750  0.305 x4
Si  0.205  0.750  0.973 x4
Ni  0.127  0.250  0.351 x4